13
Lattice="-4.861 4.861 2.738 4.861 -4.861 2.738 4.861 4.861 -2.738" Properties=species:S:1:pos:R:3 comment="MgCu4Se8, optimized geometry, DFT GGA-PBE" final_energy_ev_per_atom=-3.4424 total_magnetization_mub_per_cell=0.000 crystal_system=tetragonal e_above_lowest_polymorph_mev_per_atom=140.7 raw_formation_energy_ev_per_atom=0.08 pbc="T T T"
Mg 0.000 0.000 0.000
Cu 2.431 2.431 -1.369
Cu 2.431 -2.431 1.369
Cu -2.431 2.431 1.369
Cu 2.431 2.431 1.369
Se 2.611 0.000 0.000
Se 7.111 0.000 0.000
Se 4.861 2.587 0.000
Se 0.000 2.611 0.000
Se 2.587 4.861 0.000
Se 2.274 0.000 2.738
Se 0.000 7.111 0.000
Se 0.000 2.274 2.738